Here is a relaxed NaSrPrS3 crystal from OQMD. Energies are from PBE.

a b c (Å): 10.931 4.234 13.402
angles (deg): 90.00 90.00 90.00
Atoms (fractional coordinates):
Na (0.229, 0.250, 0.236)
Na (0.271, 0.750, 0.736)
Na (0.729, 0.250, 0.264)
Na (0.771, 0.750, 0.764)
Sr (0.203, 0.750, 0.000)
Sr (0.297, 0.250, 0.500)
Sr (0.703, 0.750, 0.500)
Sr (0.797, 0.250, 0.000)
Pr (0.019, 0.250, 0.730)
Pr (0.481, 0.750, 0.230)
Pr (0.519, 0.250, 0.770)
Pr (0.981, 0.750, 0.270)
S (0.037, 0.250, 0.121)
S (0.097, 0.750, 0.607)
S (0.239, 0.750, 0.345)
S (0.261, 0.250, 0.845)
S (0.403, 0.250, 0.107)
S (0.463, 0.750, 0.621)
S (0.537, 0.250, 0.379)
S (0.597, 0.750, 0.893)
S (0.739, 0.750, 0.155)
S (0.761, 0.250, 0.655)
S (0.903, 0.250, 0.393)
S (0.963, 0.750, 0.879)

Results
space-group type = Pnma (62)
E above lowest polymorph = 0.0 kJ/mol of atoms
final energy = -121.72 eV for the cell shown

Here is a relaxed TbYAsO crystal from OQMD. Energies are from PBE.

a b c (Å): 4.163 7.659 5.909
angles (deg): 90.00 90.00 90.00
Atoms (fractional coordinates):
Tb (0.000, 0.210, 0.000)
Tb (0.000, 0.790, 0.500)
Y (0.500, 0.386, 0.570)
Y (0.500, 0.614, 0.070)
As (0.000, 0.159, 0.492)
As (0.000, 0.841, 0.992)
O (0.500, 0.329, 0.943)
O (0.500, 0.671, 0.443)

Results
space-group type = Pmc2_1 (26)
E above lowest polymorph = 0.0 kJ/mol of atoms
final energy = -57.15 eV for the cell shown

Here is a relaxed BaPmFe crystal from OQMD. Energies are from PBE.

a b c (Å): 7.077 7.077 7.077
angles (deg): 90.00 90.00 90.00
Atoms (fractional coordinates):
Ba (0.000, 0.000, 0.000)
Ba (0.000, 0.500, 0.500)
Ba (0.500, 0.000, 0.500)
Ba (0.500, 0.500, 0.000)
Pm (0.250, 0.250, 0.250)
Pm (0.250, 0.750, 0.750)
Pm (0.750, 0.250, 0.750)
Pm (0.750, 0.750, 0.250)
Fe (0.000, 0.000, 0.500)
Fe (0.000, 0.500, 0.000)
Fe (0.500, 0.000, 0.000)
Fe (0.500, 0.500, 0.500)

Results
space-group type = F-43m (216)
E above lowest polymorph = 0.0 kJ/mol of atoms
final energy = -47.42 eV for the cell shown

Here is a relaxed BPIrO crystal from OQMD. Energies are from PBE.

a b c (Å): 2.955 7.043 4.553
angles (deg): 90.00 90.00 90.00
Atoms (fractional coordinates):
B (0.000, 0.100, 0.000)
B (0.000, 0.900, 0.500)
P (0.500, 0.295, 0.915)
P (0.500, 0.705, 0.415)
Ir (0.500, 0.386, 0.431)
Ir (0.500, 0.614, 0.931)
O (0.000, 0.055, 0.308)
O (0.000, 0.945, 0.808)

Results
space-group type = Pmc2_1 (26)
E above lowest polymorph = 0.0 kJ/mol of atoms
final energy = -57.35 eV for the cell shown

Here is a relaxed TmAuSeO crystal from OQMD. Energies are from PBE.

a b c (Å): 4.193 6.390 6.452
angles (deg): 90.00 90.00 90.00
Atoms (fractional coordinates):
Tm (0.000, 0.183, 0.000)
Tm (0.000, 0.817, 0.500)
Au (0.500, 0.274, 0.643)
Au (0.500, 0.726, 0.143)
Se (0.500, 0.345, 0.239)
Se (0.500, 0.655, 0.739)
O (0.000, 0.074, 0.693)
O (0.000, 0.926, 0.193)

Results
space-group type = Pmc2_1 (26)
E above lowest polymorph = 46.6 kJ/mol of atoms
final energy = -43.94 eV for the cell shown

Here is a relaxed Rb2Sm2O5 crystal from OQMD. Energies are from PBE.

a b c (Å): 4.469 4.469 7.901
angles (deg): 90.00 90.00 90.00
Atoms (fractional coordinates):
Rb (0.000, 0.000, 0.195)
Rb (0.000, 0.000, 0.805)
Sm (0.500, 0.500, 0.000)
Sm (0.500, 0.500, 0.500)
O (0.000, 0.000, 0.500)
O (0.000, 0.500, 0.181)
O (0.000, 0.500, 0.819)
O (0.500, 0.000, 0.181)
O (0.500, 0.000, 0.819)

Results
space-group type = P4/mmm (123)
E above lowest polymorph = 122.9 kJ/mol of atoms
final energy = -43.67 eV for the cell shown

Here is a relaxed LaNd2Sb3 crystal from OQMD. Energies are from PBE.

a b c (Å): 4.555 4.555 11.176
angles (deg): 90.00 90.00 120.00
Atoms (fractional coordinates):
La (0.000, 0.000, 0.000)
Nd (0.333, 0.667, 0.336)
Nd (0.667, 0.333, 0.664)
Sb (0.000, 0.000, 0.500)
Sb (0.333, 0.667, 0.830)
Sb (0.667, 0.333, 0.170)

Results
space-group type = P-3m1 (164)
final energy = -34.14 eV for the cell shown

Here is a relaxed DyScPbC crystal from OQMD. Energies are from PBE.

a b c (Å): 3.520 3.520 15.670
angles (deg): 90.00 90.00 120.00
Atoms (fractional coordinates):
Dy (0.333, 0.667, 0.000)
Dy (0.667, 0.333, 0.500)
Sc (0.333, 0.667, 0.338)
Sc (0.667, 0.333, 0.838)
Pb (0.333, 0.667, 0.675)
Pb (0.667, 0.333, 0.175)
C (0.000, 0.000, 0.413)
C (0.000, 0.000, 0.913)

Results
space-group type = P6_3mc (186)
E above lowest polymorph = 0.0 kJ/mol of atoms
final energy = -51.94 eV for the cell shown

Here is a relaxed ZrInCoTe3 crystal from OQMD. Energies are from PBE.

a b c (Å): 7.965 7.965 10.474
angles (deg): 90.00 90.00 151.61
Atoms (fractional coordinates):
Zr (0.000, 0.000, 0.000)
Zr (0.000, 0.000, 0.500)
In (0.246, 0.754, 0.750)
In (0.754, 0.246, 0.250)
Co (0.474, 0.526, 0.250)
Co (0.526, 0.474, 0.750)
Te (0.080, 0.920, 0.250)
Te (0.364, 0.636, 0.065)
Te (0.364, 0.636, 0.435)
Te (0.636, 0.364, 0.565)
Te (0.636, 0.364, 0.935)
Te (0.920, 0.080, 0.750)

Results
space-group type = Cmcm (63)
E above lowest polymorph = 0.0 kJ/mol of atoms
final energy = -60.98 eV for the cell shown

Here is a relaxed YCoSnOs crystal from OQMD. Energies are from PBE.

a b c (Å): 6.552 6.552 6.552
angles (deg): 90.00 90.00 90.00
Atoms (fractional coordinates):
Y (0.000, 0.000, 0.000)
Y (0.000, 0.500, 0.500)
Y (0.500, 0.000, 0.500)
Y (0.500, 0.500, 0.000)
Co (0.250, 0.250, 0.750)
Co (0.250, 0.750, 0.250)
Co (0.750, 0.250, 0.250)
Co (0.750, 0.750, 0.750)
Sn (0.000, 0.000, 0.500)
Sn (0.000, 0.500, 0.000)
Sn (0.500, 0.000, 0.000)
Sn (0.500, 0.500, 0.500)
Os (0.250, 0.250, 0.250)
Os (0.250, 0.750, 0.750)
Os (0.750, 0.250, 0.750)
Os (0.750, 0.750, 0.250)

Results
space-group type = F-43m (216)
E above lowest polymorph = 0.0 kJ/mol of atoms
final energy = -116.14 eV for the cell shown

Here is a relaxed BaZrPd crystal from OQMD. Energies are from PBE.

a b c (Å): 6.895 6.895 6.895
angles (deg): 90.00 90.00 90.00
Atoms (fractional coordinates):
Ba (0.000, 0.000, 0.000)
Ba (0.000, 0.500, 0.500)
Ba (0.500, 0.000, 0.500)
Ba (0.500, 0.500, 0.000)
Zr (0.250, 0.250, 0.250)
Zr (0.250, 0.750, 0.750)
Zr (0.750, 0.250, 0.750)
Zr (0.750, 0.750, 0.250)
Pd (0.250, 0.250, 0.750)
Pd (0.250, 0.750, 0.250)
Pd (0.750, 0.250, 0.250)
Pd (0.750, 0.750, 0.750)

Results
space-group type = F-43m (216)
E above lowest polymorph = 61.0 kJ/mol of atoms
final energy = -50.86 eV for the cell shown

Here is a relaxed TbDy2Ta2N6 crystal from OQMD. Energies are from PBE.

a b c (Å): 9.887 9.887 9.887
angles (deg): 156.68 156.68 33.21
Atoms (fractional coordinates):
Tb (0.000, 0.000, 0.000)
Dy (0.179, 0.179, 0.000)
Dy (0.821, 0.821, 0.000)
Ta (0.399, 0.399, 0.000)
Ta (0.601, 0.601, 0.000)
N (0.083, 0.583, 0.500)
N (0.296, 0.296, 0.000)
N (0.417, 0.917, 0.500)
N (0.583, 0.083, 0.500)
N (0.704, 0.704, 0.000)
N (0.917, 0.417, 0.500)

Results
space-group type = I4/mmm (139)
final energy = -102.56 eV for the cell shown

Here is a relaxed Ta2Mo4Pb3N3 crystal from OQMD. Energies are from PBE.

a b c (Å): 5.862 5.862 13.863
angles (deg): 100.27 100.27 56.91
Atoms (fractional coordinates):
Ta (0.031, 0.819, 0.569)
Ta (0.181, 0.969, 0.931)
Ta (0.819, 0.031, 0.069)
Ta (0.969, 0.181, 0.431)
Mo (0.182, 0.406, 0.079)
Mo (0.345, 0.421, 0.421)
Mo (0.406, 0.182, 0.579)
Mo (0.421, 0.345, 0.921)
Mo (0.579, 0.655, 0.079)
Mo (0.594, 0.818, 0.421)
Mo (0.655, 0.579, 0.579)
Mo (0.818, 0.594, 0.921)
Pb (0.084, 0.244, 0.745)
Pb (0.244, 0.084, 0.245)
Pb (0.419, 0.581, 0.750)
Pb (0.581, 0.419, 0.250)
Pb (0.756, 0.916, 0.755)
Pb (0.916, 0.756, 0.255)
N (0.000, 0.500, 0.500)
N (0.110, 0.694, 0.984)
N (0.306, 0.890, 0.516)
N (0.500, 0.000, 0.000)
N (0.694, 0.110, 0.484)
N (0.890, 0.306, 0.016)

Results
space-group type = C2/c (15)
final energy = -205.80 eV for the cell shown

Here is a relaxed YZnAgPd crystal from OQMD. Energies are from PBE.

a b c (Å): 6.749 6.749 6.749
angles (deg): 90.00 90.00 90.00
Atoms (fractional coordinates):
Y (0.000, 0.000, 0.000)
Y (0.000, 0.500, 0.500)
Y (0.500, 0.000, 0.500)
Y (0.500, 0.500, 0.000)
Zn (0.250, 0.250, 0.250)
Zn (0.250, 0.750, 0.750)
Zn (0.750, 0.250, 0.750)
Zn (0.750, 0.750, 0.250)
Ag (0.000, 0.000, 0.500)
Ag (0.000, 0.500, 0.000)
Ag (0.500, 0.000, 0.000)
Ag (0.500, 0.500, 0.500)
Pd (0.250, 0.250, 0.750)
Pd (0.250, 0.750, 0.250)
Pd (0.750, 0.250, 0.250)
Pd (0.750, 0.750, 0.750)

Results
space-group type = F-43m (216)
E above lowest polymorph = 3.7 kJ/mol of atoms
final energy = -69.81 eV for the cell shown
calculated formation energy = -0.431 eV/atom

Here is a relaxed TmReW crystal from OQMD. Energies are from PBE.

a b c (Å): 6.301 6.301 6.301
angles (deg): 90.00 90.00 90.00
Atoms (fractional coordinates):
Tm (0.000, 0.000, 0.000)
Tm (0.000, 0.500, 0.500)
Tm (0.500, 0.000, 0.500)
Tm (0.500, 0.500, 0.000)
Re (0.000, 0.000, 0.500)
Re (0.000, 0.500, 0.000)
Re (0.500, 0.000, 0.000)
Re (0.500, 0.500, 0.500)
W (0.250, 0.250, 0.750)
W (0.250, 0.750, 0.250)
W (0.750, 0.250, 0.250)
W (0.750, 0.750, 0.750)

Results
space-group type = F-43m (216)
E above lowest polymorph = 0.0 kJ/mol of atoms
final energy = -110.80 eV for the cell shown
calculated formation energy = 0.720 eV/atom

Here is a relaxed CsDyMgS3 crystal from OQMD. Energies are from PBE.

a b c (Å): 8.056 8.056 10.797
angles (deg): 90.00 90.00 150.32
Atoms (fractional coordinates):
Cs (0.240, 0.760, 0.750)
Cs (0.760, 0.240, 0.250)
Dy (0.500, 0.500, 0.000)
Dy (0.500, 0.500, 0.500)
Mg (0.037, 0.963, 0.250)
Mg (0.963, 0.037, 0.750)
S (0.112, 0.888, 0.056)
S (0.112, 0.888, 0.444)
S (0.449, 0.551, 0.250)
S (0.551, 0.449, 0.750)
S (0.888, 0.112, 0.556)
S (0.888, 0.112, 0.944)

Results
space-group type = Cmcm (63)
final energy = -59.15 eV for the cell shown

Here is a relaxed Rb4Hg13 crystal from OQMD. Energies are from PBE.

a b c (Å): 11.229 11.229 9.480
angles (deg): 112.93 112.93 29.05
Atoms (fractional coordinates):
Rb (0.042, 0.042, 0.351)
Rb (0.318, 0.318, 0.807)
Rb (0.682, 0.682, 0.193)
Rb (0.958, 0.958, 0.649)
Hg (0.085, 0.085, 0.028)
Hg (0.142, 0.142, 0.767)
Hg (0.206, 0.206, 0.425)
Hg (0.266, 0.266, 0.110)
Hg (0.353, 0.353, 0.456)
Hg (0.470, 0.470, 0.131)
Hg (0.500, 0.500, 0.500)
Hg (0.530, 0.530, 0.869)
Hg (0.647, 0.647, 0.544)
Hg (0.734, 0.734, 0.890)
Hg (0.794, 0.794, 0.575)
Hg (0.858, 0.858, 0.233)
Hg (0.915, 0.915, 0.972)

Results
space-group type = C2/m (12)
final energy = -10.07 eV for the cell shown

Here is a relaxed GdCo9Si4 crystal from OQMD. Energies are from PBE.

a b c (Å): 8.046 8.046 8.046
angles (deg): 121.91 121.91 86.72
Atoms (fractional coordinates):
Gd (0.250, 0.250, 0.000)
Gd (0.750, 0.750, 0.000)
Co (0.000, 0.000, 0.000)
Co (0.023, 0.729, 0.752)
Co (0.064, 0.564, 0.269)
Co (0.206, 0.936, 0.500)
Co (0.229, 0.523, 0.752)
Co (0.271, 0.023, 0.294)
Co (0.294, 0.794, 0.731)
Co (0.436, 0.706, 0.500)
Co (0.477, 0.229, 0.706)
Co (0.500, 0.500, 0.000)
Co (0.523, 0.771, 0.294)
Co (0.564, 0.294, 0.500)
Co (0.706, 0.206, 0.269)
Co (0.729, 0.977, 0.706)
Co (0.771, 0.477, 0.248)
Co (0.794, 0.064, 0.500)
Co (0.936, 0.436, 0.731)
Co (0.977, 0.271, 0.248)
Si (0.049, 0.180, 0.500)
Si (0.180, 0.680, 0.131)
Si (0.320, 0.451, 0.500)
Si (0.451, 0.951, 0.131)
Si (0.549, 0.049, 0.869)
Si (0.680, 0.549, 0.500)
Si (0.820, 0.320, 0.869)
Si (0.951, 0.820, 0.500)

Results
space-group type = I4/mcm (140)
E above lowest polymorph = 27.3 kJ/mol of atoms
final energy = -186.34 eV for the cell shown

Here is a relaxed ZrTlCoNi crystal from OQMD. Energies are from PBE.

a b c (Å): 6.335 6.335 6.335
angles (deg): 90.00 90.00 90.00
Atoms (fractional coordinates):
Zr (0.000, 0.000, 0.000)
Zr (0.000, 0.500, 0.500)
Zr (0.500, 0.000, 0.500)
Zr (0.500, 0.500, 0.000)
Tl (0.000, 0.000, 0.500)
Tl (0.000, 0.500, 0.000)
Tl (0.500, 0.000, 0.000)
Tl (0.500, 0.500, 0.500)
Co (0.250, 0.250, 0.750)
Co (0.250, 0.750, 0.250)
Co (0.750, 0.250, 0.250)
Co (0.750, 0.750, 0.750)
Ni (0.250, 0.250, 0.250)
Ni (0.250, 0.750, 0.750)
Ni (0.750, 0.250, 0.750)
Ni (0.750, 0.750, 0.250)

Results
space-group type = F-43m (216)
E above lowest polymorph = 0.0 kJ/mol of atoms
final energy = -95.73 eV for the cell shown

Here is a relaxed Mg17UAl11 crystal from OQMD. Energies are from PBE.

a b c (Å): 9.198 9.198 9.243
angles (deg): 107.55 107.55 109.54
Atoms (fractional coordinates):
Mg (0.000, 0.000, 0.000)
Mg (0.232, 0.558, 0.559)
Mg (0.280, 0.675, 0.270)
Mg (0.295, 0.295, 0.698)
Mg (0.341, 0.341, 0.328)
Mg (0.342, 0.657, 0.939)
Mg (0.374, 0.945, 0.656)
Mg (0.553, 0.553, 0.177)
Mg (0.558, 0.232, 0.559)
Mg (0.641, 0.989, 0.993)
Mg (0.647, 0.964, 0.349)
Mg (0.657, 0.342, 0.939)
Mg (0.675, 0.280, 0.270)
Mg (0.945, 0.374, 0.656)
Mg (0.964, 0.647, 0.349)
Mg (0.969, 0.969, 0.602)
Mg (0.989, 0.641, 0.993)
U (0.630, 0.630, 0.788)
Al (0.111, 0.778, 0.771)
Al (0.146, 0.331, 0.959)
Al (0.176, 0.985, 0.364)
Al (0.331, 0.146, 0.959)
Al (0.333, 0.970, 0.153)
Al (0.587, 0.767, 0.535)
Al (0.767, 0.587, 0.535)
Al (0.778, 0.111, 0.771)
Al (0.824, 0.824, 0.167)
Al (0.970, 0.333, 0.153)
Al (0.985, 0.176, 0.364)

Results
space-group type = Cm (8)
final energy = -76.74 eV for the cell shown

Here is a relaxed ZnCoPdAu crystal from OQMD. Energies are from PBE.

a b c (Å): 6.188 6.188 6.188
angles (deg): 90.00 90.00 90.00
Atoms (fractional coordinates):
Zn (0.000, 0.000, 0.000)
Zn (0.000, 0.500, 0.500)
Zn (0.500, 0.000, 0.500)
Zn (0.500, 0.500, 0.000)
Co (0.250, 0.250, 0.250)
Co (0.250, 0.750, 0.750)
Co (0.750, 0.250, 0.750)
Co (0.750, 0.750, 0.250)
Pd (0.250, 0.250, 0.750)
Pd (0.250, 0.750, 0.250)
Pd (0.750, 0.250, 0.250)
Pd (0.750, 0.750, 0.750)
Au (0.000, 0.000, 0.500)
Au (0.000, 0.500, 0.000)
Au (0.500, 0.000, 0.000)
Au (0.500, 0.500, 0.500)

Results
space-group type = F-43m (216)
E above lowest polymorph = 0.0 kJ/mol of atoms
final energy = -67.38 eV for the cell shown
calculated formation energy = -0.008 eV/atom